Entry 1:
# MgCr2Mo, relaxed, DFT PBE
data_MgCr2Mo
_cell_length_a 2.6041
_cell_length_b 4.2446
_cell_length_c 5.2299
_cell_angle_alpha 90.00
_cell_angle_beta 100.96
_cell_angle_gamma 90.00
_space_group_name_H-M_alt 'P 1 m 1'
_space_group_IT_number 6
loop_
_space_group_symop_operation_xyz
'x,y,z'
'x,-y,z'
loop_
_atom_site_label
_atom_site_type_symbol
_atom_site_fract_x
_atom_site_fract_y
_atom_site_fract_z
Mg1 Mg 0.0000 0.0000 0.0000
Cr1 Cr 0.2285 0.5000 0.7367
Cr2 Cr 0.4568 0.0000 0.5179
Mo1 Mo 0.7121 0.5000 0.2774
# Formation energy, eV per atom: 0.385

=====

Entry 2:
# MgCrMo2, relaxed, DFT PBE
data_MgCrMo2
_cell_length_a 6.3054
_cell_length_b 6.3054
_cell_length_c 6.3054
_cell_angle_alpha 90.00
_cell_angle_beta 90.00
_cell_angle_gamma 90.00
_space_group_name_H-M_alt 'F -4 3 m'
_space_group_IT_number 216
_space_group_name_Hall 'F -4 2 3'
loop_
_atom_site_label
_atom_site_type_symbol
_atom_site_fract_x
_atom_site_fract_y
_atom_site_fract_z
Mg1 Mg 0.0000 0.0000 0.0000
Cr1 Cr 0.2500 0.2500 0.2500
Mo1 Mo 0.0000 0.0000 0.5000
Mo2 Mo 0.2500 0.2500 0.7500
# Formation energy, eV per atom: 0.366